Below is a geometry-optimized TmTh2N3 structure, with properties calculated at the GGA-PBE level.

Properties
Formation energy from raw total energies = -9.65 eV/f.u.
Volume = 16.23 A^3/atom
Theoretical density = 11.514 g cm⁻³

Unit cell a=6.1906 b=10.7246 c=6.2177 alpha=90.00 beta=109.38 gamma=90.00
Space group C2/m (No. 12)
Asymmetric unit:
Tm 0.0000 0.1665 0.0000
Th 0.0000 0.0000 0.5000
Th 0.0000 0.3333 0.5000
Th 0.0000 0.5000 0.0000
N 0.2358 0.0000 0.2358
N 0.2485 0.1714 0.7604